Record 1
AcSbO: relaxed, PBE.

The polymorph energy (0 for the lowest one) is 0.000 eV per atom. Its spin magnetization is 0.0 μB/cell. The uncorrected formation energy is -2222 meV/atom.

It has space group P2_1/m (No. 11), with a = 4.363 Å, b = 4.327 Å, c = 8.321 Å, α = 90.00°, β = 93.06° and γ = 90.00°. The asymmetric unit holds Ac at (0.235, 0.250, 0.353), Sb at (0.283, 0.250, 0.947) and O at (0.250, 0.750, 0.501).

=====

Record 2
Ac4Sb5O: relaxed, PBE.

For the density of states at the Fermi level, the calculation gives 0.51 states/eV/atom. Its spin magnetization is 0.0 μB/cell. The uncorrected formation energy is -1173 meV/atom.

It has space group Immm (No. 71), with a = 4.875 Å, b = 11.461 Å, c = 12.371 Å, α = 90.00°, β = 90.00° and γ = 90.00°. The asymmetric unit holds Ac at (0.000, 0.000, 0.187), Ac at (0.000, 0.195, 0.500), Sb at (0.000, 0.308, 0.202), Sb at (0.000, 0.500, 0.500) and O at (0.000, 0.000, 0.500).

=====

Record 3
Ac2SbO5: relaxed, PBE.

For the density of states at the Fermi level, the calculation gives 0.06 states/eV/atom. Its spin magnetization is 0.0 μB/cell. The uncorrected formation energy is -2633 meV/atom.

It has space group P2_1/c (No. 14), with a = 10.200 Å, b = 7.875 Å, c = 7.256 Å, α = 90.00°, β = 107.97° and γ = 90.00°. The asymmetric unit holds Ac at (0.018, 0.128, 0.240), Ac at (0.364, 0.129, 0.068), Sb at (0.313, 0.605, 0.061), O at (0.108, 0.622, 0.994), O at (0.109, 0.117, 0.947), O at (0.284, 0.088, 0.366), O at (0.340, 0.711, 0.373) and O at (0.418, 0.089, 0.752).

=====

Record 4
Ac2ScSbO6: relaxed, PBE.

Its spin magnetization is 0.0 μB/cell. The uncorrected formation energy is -2660 meV/atom.

It has space group Pmmn (No. 59, origin choice 2), with a = 6.329 Å, b = 8.315 Å, c = 5.907 Å, α = 90.00°, β = 90.00° and γ = 90.00°. The asymmetric unit holds Ac at (0.250, 0.008, 0.226), Sc at (0.250, 0.250, 0.734), Sb at (0.250, 0.750, 0.754), O at (0.024, 0.750, 0.036), O at (0.050, 0.250, 0.461) and O at (0.250, 0.010, 0.814).

=====

Record 5
Ac2ScSbO8: relaxed, PBE.

For the density of states at the Fermi level, the calculation gives 0.73 states/eV/atom. Its spin magnetization is 1.8 μB/cell. The uncorrected formation energy is -2325 meV/atom.

It has space group P2/m (No. 10), with a = 5.274 Å, b = 7.115 Å, c = 5.287 Å, α = 90.00°, β = 92.28° and γ = 90.00°. The asymmetric unit holds Ac at (0.000, 0.249, 0.000), Sc at (0.500, 0.000, 0.500), Sb at (0.500, 0.500, 0.500), O at (0.222, 0.000, 0.222), O at (0.231, 0.500, 0.233) and O at (0.332, 0.273, 0.669).

=====

Record 6
Ac2ScSb2O2: relaxed, PBE.

For the density of states at the Fermi level, the calculation gives 0.45 states/eV/atom. Its spin magnetization is 0.0 μB/cell. The uncorrected formation energy is -2023 meV/atom.

It has space group I4/mmm (No. 139), with a = 4.376 Å, b = 4.376 Å, c = 16.949 Å, α = 90.00°, β = 90.00° and γ = 90.00°. The asymmetric unit holds Ac at (0.000, 0.000, 0.112), Sc at (0.000, 0.000, 0.500), Sb at (0.000, 0.000, 0.315) and O at (0.000, 0.500, 0.000).

=====

Record 7
AcScSbO6: relaxed, PBE.

For the density of states at the Fermi level, the calculation gives 0.80 states/eV/atom. Its spin magnetization is 1.1 μB/cell. The uncorrected formation energy is -2448 meV/atom.

It has space group P312 (No. 149), with a = 5.4922 Å, b = 5.4922 Å, c = 5.2885 Å, α = 90.00°, β = 90.00° and γ = 120.00°. The asymmetric unit holds Ac at (0.0000, 0.0000, 0.0000), Sc at (0.3333, 0.6667, 0.5000), Sb at (0.6667, 0.3333, 0.5000) and O at (0.3772, 0.0156, 0.7113).

=====

Record 8
Ac4Sb2SeO2: relaxed, PBE.

For the density of states at the Fermi level, the calculation gives 0.25 states/eV/atom. Its spin magnetization is 0.0 μB/cell. The uncorrected formation energy is -2142 meV/atom.

It has space group C2/m (No. 12), with a = 16.436 Å, b = 4.344 Å, c = 7.988 Å, α = 90.00°, β = 111.95° and γ = 90.00°. The asymmetric unit holds Ac at (0.029, 0.000, 0.244), Ac at (0.216, 0.500, 0.672), Sb at (0.131, 0.500, 0.041), Se at (0.000, 0.500, 0.500) and O at (0.177, 0.000, 0.487).

=====

Copy entry 8 word for word.
Ac4Sb2SeO2: relaxed, PBE.

For the density of states at the Fermi level, the calculation gives 0.25 states/eV/atom. Its spin magnetization is 0.0 μB/cell. The uncorrected formation energy is -2142 meV/atom.

It has space group C2/m (No. 12), with a = 16.436 Å, b = 4.344 Å, c = 7.988 Å, α = 90.00°, β = 111.95° and γ = 90.00°. The asymmetric unit holds Ac at (0.029, 0.000, 0.244), Ac at (0.216, 0.500, 0.672), Sb at (0.131, 0.500, 0.041), Se at (0.000, 0.500, 0.500) and O at (0.177, 0.000, 0.487).

=====

> uncorrected formation energy of number 8 (Ac4Sb2SeO2)?

-2142 meV/atom